# 1
This record from Alexandria describes a relaxed structure of LiPaCuRh. The functional is PBE. Values from VASP.

Geometry as Quantum ESPRESSO input:
```
&SYSTEM
  ibrav = 0, nat = 4, ntyp = 4
/
ATOMIC_SPECIES
Li 6.94 Li.upf
Pa 231.04 Pa.upf
Cu 63.55 Cu.upf
Rh 102.91 Rh.upf
ATOMIC_POSITIONS crystal
Li 0.000 0.000 0.000
Pa 0.500 0.500 0.500
Cu 0.250 0.250 0.250
Rh 0.750 0.750 0.750
CELL_PARAMETERS angstrom
0.000 3.281 3.281
3.281 0.000 3.281
3.281 3.281 0.000
```

N(E_F): 1.52 states/eV per atom
energy relative to the elements: -61 kJ/mol of formula units

***

# 2
This record from Alexandria describes a relaxed structure of Li4Pa3CuS8. The functional is PBE. Values from VASP.

Geometry as Quantum ESPRESSO input:
```
&SYSTEM
  ibrav = 0, nat = 16, ntyp = 4
/
ATOMIC_SPECIES
Li 6.94 Li.upf
Pa 231.04 Pa.upf
Cu 63.55 Cu.upf
S 32.06 S.upf
ATOMIC_POSITIONS crystal
Li 0.000 0.000 0.000
Li 0.000 0.500 0.000
Li 0.500 0.000 0.000
Li 0.500 0.500 0.000
Pa 0.000 0.000 0.500
Pa 0.000 0.500 0.500
Pa 0.500 0.000 0.500
Cu 0.500 0.500 0.500
S 0.252 0.252 0.248
S 0.254 0.742 0.250
S 0.255 0.255 0.766
S 0.258 0.746 0.750
S 0.742 0.254 0.250
S 0.745 0.745 0.234
S 0.746 0.258 0.750
S 0.748 0.748 0.752
CELL_PARAMETERS angstrom
6.600 -3.799 0.000
6.600 3.799 0.000
-4.399 0.000 6.265
```

N(E_F): 1.03 states/eV per atom
formation energy without anion corrections: -1318 meV/atom

***

# 3
This record from Alexandria describes a relaxed structure of LiPaCu2S4. The functional is PBE. Values from VASP.

Geometry as Quantum ESPRESSO input:
```
&SYSTEM
  ibrav = 0, nat = 8, ntyp = 4
/
ATOMIC_SPECIES
Li 6.94 Li.upf
Pa 231.04 Pa.upf
Cu 63.55 Cu.upf
S 32.06 S.upf
ATOMIC_POSITIONS crystal
Li 0.000 0.000 0.000
Pa 0.500 0.500 0.000
Cu 0.305 0.805 0.500
Cu 0.695 0.195 0.500
S 0.047 0.596 0.992
S 0.397 0.404 0.452
S 0.603 0.055 0.008
S 0.953 0.945 0.548
CELL_PARAMETERS angstrom
-3.151 3.153 3.485
3.151 -3.153 3.485
3.151 3.153 -3.485
```

N(E_F): 0.26 states/eV per atom
formation energy without anion corrections: -898 meV/atom

***

# 4
This record from Alexandria describes a relaxed structure of LiPa2CuS6. The functional is PBE. Values from VASP.

Geometry as Quantum ESPRESSO input:
```
&SYSTEM
  ibrav = 0, nat = 10, ntyp = 4
/
ATOMIC_SPECIES
Li 6.94 Li.upf
Pa 231.04 Pa.upf
Cu 63.55 Cu.upf
S 32.06 S.upf
ATOMIC_POSITIONS crystal
Li 0.000 0.000 0.000
Pa 0.625 0.688 0.063
Pa 0.628 0.186 0.559
Cu 0.993 0.504 0.513
S 0.120 0.601 0.791
S 0.121 0.768 0.298
S 0.471 0.111 0.297
S 0.487 0.912 0.792
S 0.810 0.279 0.792
S 0.814 0.419 0.297
CELL_PARAMETERS angstrom
6.468 0.000 0.000
3.232 5.603 0.000
3.234 -1.861 6.130
```

formation energy without anion corrections: -1255 meV/atom